Entry 1:
Density functional theory data (PBE) for AcCeSi2 after structural relaxation.

The structure in POSCAR format:
```
AcCeSi2
1.0
3.9493 0.0000 0.0000
0.0000 3.9493 0.0000
0.0000 0.0000 6.5016
Ac Si Ce
1 2 1
direct
0.5000 0.5000 0.5000 Ac
0.0000 0.0000 0.8092 Si
0.0000 0.0000 0.1908 Si
0.5000 0.5000 0.0000 Ce
```

Values from the calculation:
Density of states at the Fermi level (states/eV/atom): 1.250
Symmetry: P4/mmm (123)



Entry 2:
Density functional theory data (PBE) for SrTiRuO6 after structural relaxation.

The structure in POSCAR format:
```
SrTiRuO6
1.0
5.1959 0.0000 -0.0001
2.5980 4.4998 0.0000
0.0001 -0.0002 5.4127
Sr Ti Ru O
1 1 1 6
direct
0.0000 0.0000 0.0000 Sr
0.6666 0.6667 0.5000 Ti
0.3333 0.3333 0.5000 Ru
0.0046 0.3771 0.2993 O
0.3770 0.0046 0.7007 O
0.6183 0.3771 0.7007 O
0.0046 0.6183 0.7007 O
0.3770 0.6183 0.2993 O
0.6183 0.0046 0.2993 O
```

Values from the calculation:
Density of states at the Fermi level (states/eV/atom): 0.537
Symmetry: P312 (149)



Entry 3:
Density functional theory data (PBE) for NpH2I8 after structural relaxation.

The structure in POSCAR format:
```
NpH2I8
1.0
-5.2403 3.0064 -3.5534
-0.3348 -6.7409 -5.3905
-5.7302 -5.1350 3.9251
Np H I
1 2 8
direct
0.0000 0.0000 0.0000 Np
0.7624 0.7216 0.7216 H
0.2376 0.2784 0.2784 H
0.2273 0.9056 0.2791 I
0.2273 0.2791 0.9056 I
0.7727 0.0944 0.7209 I
0.2802 0.3980 0.3980 I
0.7727 0.7209 0.0944 I
0.2536 0.8298 0.8298 I
0.7464 0.1702 0.1702 I
0.7198 0.6020 0.6020 I
```

Values from the calculation:
Symmetry: C2/m (12)



Calculated volume list, top to bottom, in Å³/f.u.: 101.41; 126.55; 511.67
Mass density list, top to bottom, in g/cm3: 6.931; 4.364; 4.070
Energy list, top to bottom, in eV per atom: -5.6858; -7.4522; -3.2256